## Pr2Nd6Y3Tl (PBE)

Data for Pr2Nd6Y3Tl after structural relaxation.

Unit cell a=6.253 b=10.853 c=12.000 alpha=90.00 beta=100.07 gamma=90.00
Space group C2/m (No. 12)
Asymmetric unit:
1 Pr 0.000 0.166 0.000
2 Nd 0.242 0.500 0.748
3 Nd 0.246 0.337 0.251
4 Y 0.000 0.000 0.500
5 Y 0.000 0.333 0.500
6 Tl 0.000 0.500 0.000

Summary:
Formation enthalpy at 0 K = -0.03 eV per atom
Final energy = -5.023 eV per atom



## Pr2NdYTl2 (PBE)

Data for Pr2NdYTl2 after structural relaxation.

Unit cell a=5.246 b=10.312 c=6.970 alpha=90.00 beta=90.00 gamma=90.00
Space group Pmc2_1 (No. 26)
Asymmetric unit:
1 Pr 0.000 0.046 0.000
2 Pr 0.500 0.183 0.273
3 Nd 0.500 0.457 0.906
4 Y 0.000 0.314 0.625
5 Tl 0.000 0.373 0.166
6 Tl 0.500 0.145 0.740

Summary:
Formation enthalpy at 0 K = -0.28 eV per atom
Final energy = -4.536 eV per atom



## Pr2NdTl2Zn2 (PBE)

Data for Pr2NdTl2Zn2 after structural relaxation.

Unit cell a=4.8207 b=4.8207 c=28.5233 alpha=90.00 beta=90.00 gamma=120.00
Space group R-3m (No. 166, hexagonal axes)
Asymmetric unit:
1 Pr 0.0000 0.0000 0.1282
2 Nd 0.0000 0.0000 0.0000
3 Tl 0.0000 0.0000 0.2671
4 Zn 0.0000 0.0000 0.4048

Summary:
Formation enthalpy at 0 K = -0.20 eV per atom
Final energy = -3.286 eV per atom



## Pr5Nd6Tm (PBE)

Data for Pr5Nd6Tm after structural relaxation.

Unit cell a=6.374 b=11.036 c=12.219 alpha=90.00 beta=100.07 gamma=90.00
Space group C2/m (No. 12)
Asymmetric unit:
1 Pr 0.000 0.000 0.000
2 Pr 0.000 0.167 0.500
3 Pr 0.000 0.334 0.000
4 Nd 0.248 0.500 0.252
5 Nd 0.249 0.334 0.748
6 Tm 0.000 0.500 0.500

Summary:
Formation enthalpy at 0 K = 0.01 eV per atom
Final energy = -4.734 eV per atom



## PrNd3Tm5 (PBE)

Data for PrNd3Tm5 after structural relaxation.

Unit cell a=15.400 b=11.178 c=10.055 alpha=90.00 beta=130.48 gamma=90.00
Space group C2/m (No. 12)
Asymmetric unit:
1 Pr 0.247 0.000 0.089
2 Nd 0.000 0.000 0.000
3 Nd 0.000 0.500 0.500
4 Nd 0.010 0.500 0.213
5 Nd 0.027 0.000 0.687
6 Tm 0.000 0.261 0.000
7 Tm 0.157 0.247 0.558
8 Tm 0.213 0.500 0.206
9 Tm 0.223 0.000 0.410

Summary:
Formation enthalpy at 0 K = 0.51 eV per atom
Final energy = -4.091 eV per atom



## Pr5Nd3Tm4 (PBE)

Data for Pr5Nd3Tm4 after structural relaxation.

Unit cell a=12.298 b=6.046 c=12.847 alpha=90.00 beta=118.21 gamma=90.00
Space group C2/m (No. 12)
Asymmetric unit:
1 Pr 0.000 0.000 0.000
2 Pr 0.060 0.000 0.331
3 Pr 0.241 0.000 0.676
4 Nd 0.000 0.500 0.000
5 Nd 0.211 0.000 0.921
6 Tm 0.131 0.500 0.503
7 Tm 0.134 0.500 0.774

Summary:
Formation enthalpy at 0 K = 0.24 eV per atom
Final energy = -4.435 eV per atom



## PrNd6Tm8 (PBE)

Data for PrNd6Tm8 after structural relaxation.

Unit cell a=9.0500 b=9.0500 c=20.9194 alpha=90.00 beta=90.00 gamma=120.00
Space group R-3 (No. 148, hexagonal axes)
Asymmetric unit:
1 Pr 0.0000 0.0000 0.0000
2 Nd 0.0611 0.8136 0.7113
3 Tm 0.0000 0.0000 0.4236
4 Tm 0.0795 0.5215 0.8080

Summary:
Formation enthalpy at 0 K = 0.13 eV per atom
Final energy = -4.481 eV per atom



## Pr5Nd4Tm3 (PBE)

Data for Pr5Nd4Tm3 after structural relaxation.

Unit cell a=12.259 b=6.030 c=13.043 alpha=90.00 beta=117.64 gamma=90.00
Space group C2/m (No. 12)
Asymmetric unit:
1 Pr 0.000 0.000 0.000
2 Pr 0.054 0.000 0.326
3 Pr 0.245 0.500 0.310
4 Nd 0.135 0.500 0.781
5 Nd 0.136 0.500 0.503
6 Tm 0.000 0.500 0.000
7 Tm 0.214 0.000 0.927

Summary:
Formation enthalpy at 0 K = 0.23 eV per atom
Final energy = -4.465 eV per atom



## Pr5Nd3Tm3 (PBE)

Data for Pr5Nd3Tm3 after structural relaxation.

Unit cell a=11.4392 b=11.4392 c=3.4759 alpha=90.00 beta=90.00 gamma=120.00
Space group P-62m (No. 189)
Asymmetric unit:
1 Pr 0.0000 0.3358 0.0000
2 Pr 0.3333 0.6667 0.0000
3 Nd 0.0000 0.5981 0.5000
4 Tm 0.0000 0.8417 0.0000

Summary:
Formation enthalpy at 0 K = 0.31 eV per atom
Final energy = -4.386 eV per atom



## Pr4Nd8Tm3 (PBE)

Data for Pr4Nd8Tm3 after structural relaxation.

Unit cell a=7.0807 b=7.0807 c=36.3330 alpha=90.00 beta=90.00 gamma=120.00
Space group R-3m (No. 166, hexagonal axes)
Asymmetric unit:
1 Pr 0.0000 0.0000 0.0000
2 Pr 0.0000 0.0000 0.1639
3 Pr 0.0000 0.0000 0.5000
4 Nd 0.0000 0.0000 0.2552
5 Nd 0.0017 0.5008 0.2519
6 Tm 0.0000 0.5000 0.0000

Summary:
Formation enthalpy at 0 K = 0.11 eV per atom
Distance to the lowest polymorph of the same formula = 0.000 eV per atom
Final energy = -4.600 eV per atom



## Pr11Nd4Tm9 (PBE)

Data for Pr11Nd4Tm9 after structural relaxation.

Unit cell a=16.993 b=25.757 c=3.727 alpha=90.00 beta=90.00 gamma=90.00
Space group Cmmm (No. 65)
Asymmetric unit:
1 Pr 0.000 0.000 0.000
2 Pr 0.000 0.160 0.000
3 Pr 0.000 0.367 0.000
4 Pr 0.211 0.500 0.000
5 Pr 0.224 0.181 0.000
6 Nd 0.156 0.399 0.500
7 Tm 0.000 0.500 0.500
8 Tm 0.101 0.266 0.500
9 Tm 0.138 0.073 0.500

Summary:
Formation enthalpy at 0 K = 0.07 eV per atom
Final energy = -4.596 eV per atom



## Pr4Nd2Tm3 (PBE)

Data for Pr4Nd2Tm3 after structural relaxation.

Unit cell a=3.6356 b=3.6356 c=27.1235 alpha=90.00 beta=90.00 gamma=120.00
Space group P3m1 (No. 156)
Asymmetric unit:
1 Pr 0.0000 0.0000 0.0000
2 Pr 0.0000 0.0000 0.2109
3 Pr 0.3333 0.6667 0.3282
4 Pr 0.3333 0.6667 0.5407
5 Nd 0.0000 0.0000 0.6564
6 Nd 0.0000 0.0000 0.8655
7 Tm 0.0000 0.0000 0.4343
8 Tm 0.3333 0.6667 0.1042
9 Tm 0.3333 0.6667 0.7622

Summary:
Formation enthalpy at 0 K = 0.05 eV per atom
Distance to the lowest polymorph of the same formula = 0.000 eV per atom
Final energy = -4.621 eV per atom